## a
GdY3 | PBE-GGA | optimized geometry

Lattice parameters (Å, degrees): 5.0594 5.0594 5.0594 90.00 90.00 90.00
Last column: nearest neighbours and their distance in Å.
Sites, in units of the cell vectors:
Gd 0.0000 0.0000 0.0000  12 Y 3.58
Y 0.0000 0.5000 0.5000  4 Gd 3.58, 8 Y 3.58
Y 0.5000 0.0000 0.5000  4 Gd 3.58, 8 Y 3.58
Y 0.5000 0.5000 0.0000  4 Gd 3.58, 8 Y 3.58

Values from the calculation:
The total moment comes out at 7.0 μB per formula unit. The space-group type is Pm-3m (221). The calculation puts the density at 5.436 Mg/m³.

=====

## b
GdY3 | PBE-GGA | optimized geometry

Lattice parameters (Å, degrees): 6.8014 6.8014 6.8014 148.97 64.69 124.80
Last column: nearest neighbours and their distance in Å.
Sites, in units of the cell vectors:
Gd 0.0000 0.0000 0.0000  10 Y 3.55-3.64, 2 Gd 3.64
Y 0.4158 0.6645 0.7513  9 Y 3.54-3.64, 3 Gd 3.55-3.57
Y 0.5002 0.0002 0.5000  8 Y 3.54-3.64, 4 Gd 3.64
Y 0.9132 0.6645 0.2487  9 Y 3.54-3.64, 3 Gd 3.55-3.57

Values from the calculation:
The total moment comes out at 8.6 μB per formula unit. The space-group type is Imm2 (44). The calculation puts the density at 5.342 Mg/m³.

=====

Of them, the most stable is b and the least stable is a.

=====

## a
GdYZn | PBE-GGA | optimized geometry

Lattice parameters (Å, degrees): 5.0091 5.0091 3.6908 90.00 90.00 120.00
Last column: nearest neighbours and their distance in Å.
Sites, in units of the cell vectors:
Gd 0.0000 0.0000 0.0000  3 Zn 3.08, 3 Y 3.35
Y 0.3333 0.6667 0.5413  3 Zn 3.04, 3 Gd 3.35
Zn 0.6667 0.3333 0.2866  3 Y 3.04, 3 Gd 3.08

Values from the calculation:
The total moment comes out at 7.4 μB per formula unit. The space-group type is P3m1 (156). The calculation puts the density at 6.451 Mg/m³.

=====

## b
GdYZn | PBE-GGA | optimized geometry

Lattice parameters (Å, degrees): 6.6512 6.6512 6.6512 148.61 148.61 44.99
Last column: nearest neighbours and their distance in Å.
Sites, in units of the cell vectors:
Gd 0.0000 0.0000 0.0000  4 Zn 3.13
Y 0.2899 0.2899 0.0000  4 Zn 3.08
Zn 0.6485 0.6485 0.0000  4 Y 3.08, 4 Gd 3.13

Values from the calculation:
The total moment comes out at 7.9 μB per formula unit. The space-group type is I4mm (107). The calculation puts the density at 6.500 Mg/m³.

=====

Of them, the most stable is b and the least stable is a.

=====

## a
Gd2YZn | PBE-GGA | optimized geometry

Lattice parameters (Å, degrees): 4.7575 4.7575 4.8271 90.00 90.00 90.00
Last column: nearest neighbours and their distance in Å.
Sites, in units of the cell vectors:
Gd 0.0000 0.5000 0.0000  4 Gd 3.36, 4 Zn 3.39, 4 Y 3.39
Gd 0.5000 0.0000 0.0000  4 Gd 3.36, 4 Zn 3.39, 4 Y 3.39
Y 0.0000 0.0000 0.5000  4 Zn 3.36, 8 Gd 3.39
Zn 0.5000 0.5000 0.5000  4 Y 3.36, 8 Gd 3.39

Values from the calculation:
The total moment comes out at 15.5 μB per formula unit. The space-group type is P4/mmm (123). The calculation puts the density at 7.125 Mg/m³.

=====

## b
Gd2YZn | PBE-GGA | optimized geometry

Lattice parameters (Å, degrees): 12.0103 12.0103 12.0103 16.71 16.71 16.71
Last column: nearest neighbours and their distance in Å.
Sites, in units of the cell vectors:
Gd 0.0860 0.0860 0.0860  1 Zn 3.06
Gd 0.9140 0.9140 0.9140  1 Zn 3.06
Y 0.5000 0.5000 0.5000  6 Y 3.49, 6 Gd 3.50
Zn 0.0000 0.0000 0.0000  2 Gd 3.06

Values from the calculation:
The total moment comes out at 15.0 μB per formula unit. The space-group type is R-3m (166). The calculation puts the density at 6.235 Mg/m³.

=====

## c
Gd2YZn | PBE-GGA | optimized geometry

Lattice parameters (Å, degrees): 3.5979 3.5979 8.7001 90.00 90.00 90.00
Last column: nearest neighbours and their distance in Å.
Sites, in units of the cell vectors:
Gd 0.0000 0.0000 0.2060  4 Zn 3.11
Gd 0.0000 0.0000 0.7940  4 Zn 3.11
Y 0.5000 0.5000 0.5000  4 Y 3.60, 8 Gd 3.61
Zn 0.5000 0.5000 0.0000  8 Gd 3.11

Values from the calculation:
The total moment comes out at 14.4 μB per formula unit. The space-group type is P4/mmm (123). The calculation puts the density at 6.912 Mg/m³.

=====

Of them, the most stable is c and the least stable is b.

=====

## a
Gd2YZr | PBE-GGA | optimized geometry

Lattice parameters (Å, degrees): 3.4415 3.4415 9.9564 90.00 90.00 90.00
Last column: nearest neighbours and their distance in Å.
Sites, in units of the cell vectors:
Gd 0.0000 0.0000 0.2308  4 Zr 3.35, 4 Gd 3.44, 4 Y 3.62
Gd 0.0000 0.0000 0.7692  4 Zr 3.35, 4 Gd 3.44, 4 Y 3.62
Y 0.5000 0.5000 0.5000  4 Y 3.44, 8 Gd 3.62
Zr 0.5000 0.5000 0.0000  8 Gd 3.35, 4 Zr 3.44

Values from the calculation:
The total moment comes out at 14.3 μB per formula unit. The space-group type is P4/mmm (123). The calculation puts the density at 6.965 Mg/m³.

=====

## b
Gd2YZr | PBE-GGA | optimized geometry

Lattice parameters (Å, degrees): 4.8871 4.8871 4.8969 90.00 90.00 90.00
Last column: nearest neighbours and their distance in Å.
Sites, in units of the cell vectors:
Gd 0.0000 0.5000 0.0000  4 Gd 3.46, 4 Zr 3.46, 4 Y 3.46
Gd 0.5000 0.0000 0.0000  4 Gd 3.46, 4 Zr 3.46, 4 Y 3.46
Y 0.0000 0.0000 0.5000  4 Zr 3.46, 8 Gd 3.46
Zr 0.5000 0.5000 0.5000  4 Y 3.46, 8 Gd 3.46

Values from the calculation:
The total moment comes out at 14.0 μB per formula unit. The space-group type is P4/mmm (123). The calculation puts the density at 7.023 Mg/m³.

=====

Of them, the most stable is a and the least stable is b.